[1]
SrTc2As2: optimized geometry, PBE-GGA.

**Volume**: 20.2 A^3/atom
**Energy above the most stable polymorph in this dataset**: 0.0 meV/atom

a b c (Å): 4.238 4.238 6.376
angles (deg): 70.59 70.59 90.00
Element x y z (fractional)
Tc 0.750 0.250 0.500
Tc 0.250 0.750 0.500
Sr 0.000 0.000 0.000
As 0.637 0.637 0.726
As 0.363 0.363 0.274



[2]
SrTcAs4: optimized geometry, PBE-GGA.

**Volume**: 21.6 A^3/atom

a b c (Å): 5.680 5.680 5.680
angles (deg): 60.00 60.00 60.00
Each line ends with the local moment (μB).
Element x y z (fractional)
As 0.881 0.373 0.373  -0.01
As 0.373 0.373 0.373  -0.01
As 0.373 0.373 0.881  -0.01
As 0.373 0.881 0.373  -0.01
Tc 0.000 0.000 0.000  2.80
Sr 0.750 0.750 0.750  0.02



Number 1: magnetization 0.00 μB per cell, energy of formation -0.48 eV/atom. Number 2: magnetization 3.24 μB per cell, energy of formation 0.35 eV/atom.